{"formula": "CsSn3Hg", "functional": "SCAN", "state": "single point on PBEsol structure", "lattice_angstrom": [[5.686, 0.000, 0.000], [0.000, 5.686, 0.000], [0.000, 0.000, 5.686]], "species": ["Cs", "Sn", "Sn", "Sn", "Hg"], "frac_coords": [[0.000, 0.000, 0.000], [0.000, 0.500, 0.500], [0.500, 0.000, 0.500], [0.500, 0.500, 0.000], [0.500, 0.500, 0.500]], "sg": "Pm-3m", "total_energy_ev_per_atom": -42.4410, "formation_energy_ev_per_atom": 0.3070}